First-principles (PBE-GGA) data for a relaxed structure of Ac2AlTlPd6, as listed in the Alexandria database.

## Properties
- ΔH_f (0 K) (eV per formula unit) = -6.59

```
data_Ac2AlTlPd6
_chemical_formula_sum 'Ac2 Al1 Tl1 Pd6'
_cell_length_a 8.826
_cell_length_b 5.675
_cell_length_c 6.724
_cell_angle_alpha 65.05
_cell_angle_beta 52.01
_cell_angle_gamma 90.00
_space_group_name_H-M_alt 'P 1'
_space_group_IT_number 1
_space_group_name_Hall 'P 1'
loop_
_atom_site_label
_atom_site_fract_x
_atom_site_fract_y
_atom_site_fract_z
Ac1 0.223 0.753 0.495
Ac2 0.777 0.247 0.505
Al1 0.500 0.500 0.000
Tl1 0.000 0.000 0.000
Pd1 0.262 0.745 0.007
Pd2 0.739 0.751 0.993
Pd3 0.415 0.254 0.493
Pd4 0.738 0.255 0.993
Pd5 0.261 0.249 0.007
Pd6 0.585 0.746 0.507
```

First-principles (PBE-GGA) data for a relaxed structure of TbY2Fe, as listed in the Alexandria database.

## Properties
- offset from the most stable computed form (meV per atom) = 110
- ΔH_f (0 K) (eV per formula unit) = 0.46

```
data_TbY2Fe
_chemical_formula_sum 'Tb1 Y2 Fe1'
_cell_length_a 3.367
_cell_length_b 3.367
_cell_length_c 9.052
_cell_angle_alpha 90.00
_cell_angle_beta 90.00
_cell_angle_gamma 90.00
_space_group_name_H-M_alt 'P 1'
_space_group_IT_number 1
_space_group_name_Hall 'P 1'
loop_
_atom_site_label
_atom_site_fract_x
_atom_site_fract_y
_atom_site_fract_z
Y1 0.000 0.000 0.821
Y2 0.000 0.000 0.179
Tb1 0.500 0.500 0.500
Fe1 0.500 0.500 0.000
```

First-principles (PBE-GGA) data for a relaxed structure of KSmSe2O8, as listed in the Alexandria database.

## Properties
- offset from the most stable computed form (meV per atom) = 0
- energy relative to the elements, uncorrected (meV/atom) = -1545

```
data_KSmSe2O8
_chemical_formula_sum 'K4 Sm4 Se8 O32'
_cell_length_a 7.404
_cell_length_b 9.001
_cell_length_c 11.094
_cell_angle_alpha 88.70
_cell_angle_beta 90.00
_cell_angle_gamma 90.00
_space_group_name_H-M_alt 'P 1'
_space_group_IT_number 1
_space_group_name_Hall 'P 1'
loop_
_atom_site_label
_atom_site_fract_x
_atom_site_fract_y
_atom_site_fract_z
K1 0.354 0.436 0.842
K2 0.646 0.564 0.158
K3 0.854 0.564 0.658
K4 0.146 0.436 0.342
Sm1 0.164 0.945 0.848
Sm2 0.836 0.055 0.152
Sm3 0.664 0.055 0.652
Sm4 0.336 0.945 0.348
Se1 0.164 0.183 0.608
Se2 0.836 0.817 0.392
Se3 0.664 0.817 0.892
Se4 0.336 0.183 0.108
Se5 0.342 0.726 0.589
Se6 0.658 0.274 0.411
Se7 0.842 0.274 0.911
Se8 0.158 0.726 0.089
O1 0.834 0.887 0.530
O2 0.166 0.113 0.470
O3 0.334 0.113 0.970
O4 0.666 0.887 0.030
O5 0.498 0.901 0.810
O6 0.502 0.099 0.190
O7 0.998 0.099 0.690
O8 0.002 0.901 0.310
O9 0.151 0.365 0.600
O10 0.849 0.635 0.400
O11 0.651 0.635 0.900
O12 0.349 0.365 0.100
O13 0.254 0.702 0.953
O14 0.746 0.298 0.047
O15 0.754 0.298 0.547
O16 0.246 0.702 0.453
O17 0.456 0.884 0.553
O18 0.544 0.116 0.447
O19 0.956 0.116 0.947
O20 0.044 0.884 0.053
O21 0.476 0.593 0.637
O22 0.524 0.407 0.363
O23 0.976 0.407 0.863
O24 0.024 0.593 0.137
O25 0.842 0.870 0.804
O26 0.158 0.130 0.196
O27 0.342 0.130 0.696
O28 0.658 0.870 0.304
O29 0.179 0.761 0.690
O30 0.821 0.239 0.310
O31 0.679 0.239 0.810
O32 0.321 0.761 0.190
```

First-principles (PBE-GGA) data for a relaxed structure of La8CoRh3Br4, as listed in the Alexandria database.

## Properties
- energy relative to the elements, uncorrected (meV/atom) = -1099

```
data_La8CoRh3Br4
_chemical_formula_sum 'La8 Co1 Rh3 Br4'
_cell_length_a 8.310
_cell_length_b 9.280
_cell_length_c 8.311
_cell_angle_alpha 116.60
_cell_angle_beta 119.99
_cell_angle_gamma 90.00
_space_group_name_H-M_alt 'P 1'
_space_group_IT_number 1
_space_group_name_Hall 'P 1'
loop_
_atom_site_label
_atom_site_fract_x
_atom_site_fract_y
_atom_site_fract_z
La1 0.227 0.694 0.967
La2 0.227 0.694 0.454
La3 0.267 0.303 0.535
La4 0.740 0.694 0.967
La5 0.260 0.306 0.033
La6 0.733 0.697 0.465
La7 0.773 0.306 0.546
La8 0.773 0.306 0.033
Co1 0.000 0.500 0.000
Rh1 0.500 0.500 0.000
Rh2 0.500 0.500 0.500
Rh3 0.000 0.500 0.500
Br1 0.500 0.000 0.000
Br2 0.500 0.000 0.500
Br3 0.000 0.000 0.000
Br4 0.000 0.000 0.500
```

First-principles (PBE-GGA) data for a relaxed structure of Li2CeMgHg4, as listed in the Alexandria database.

## Properties
- ΔH_f (0 K) (eV per formula unit) = -2.47

```
data_Li2CeMgHg4
_chemical_formula_sum 'Li2 Ce1 Mg1 Hg4'
_cell_length_a 4.755
_cell_length_b 4.755
_cell_length_c 9.559
_cell_angle_alpha 75.60
_cell_angle_beta 75.60
_cell_angle_gamma 60.00
_space_group_name_H-M_alt 'P 1'
_space_group_IT_number 1
_space_group_name_Hall 'P 1'
loop_
_atom_site_label
_atom_site_fract_x
_atom_site_fract_y
_atom_site_fract_z
Li1 0.765 0.765 0.705
Li2 0.235 0.235 0.295
Ce1 0.000 0.000 0.000
Mg1 0.500 0.500 0.500
Hg1 0.392 0.392 0.825
Hg2 0.877 0.877 0.369
Hg3 0.123 0.123 0.631
Hg4 0.608 0.608 0.175
```

First-principles (PBE-GGA) data for a relaxed structure of Pa2NiN, as listed in the Alexandria database.

## Properties
- energy relative to the elements, uncorrected (meV/atom) = -375

```
data_Pa2NiN
_chemical_formula_sum 'Pa2 Ni1 N1'
_cell_length_a 3.158
_cell_length_b 3.158
_cell_length_c 8.368
_cell_angle_alpha 79.13
_cell_angle_beta 79.13
_cell_angle_gamma 60.00
_space_group_name_H-M_alt 'P 1'
_space_group_IT_number 1
_space_group_name_Hall 'P 1'
loop_
_atom_site_label
_atom_site_fract_x
_atom_site_fract_y
_atom_site_fract_z
Ni1 0.000 0.000 0.000
Pa1 0.103 0.103 0.692
Pa2 0.897 0.897 0.308
N1 0.500 0.500 0.500
```

First-principles (PBE-GGA) data for a relaxed structure of Y2TiRu, as listed in the Alexandria database.

## Properties
- offset from the most stable computed form (meV per atom) = 0
- ΔH_f (0 K) (eV per formula unit) = 0.31

```
data_Y2TiRu
_chemical_formula_sum 'Y2 Ti1 Ru1'
_cell_length_a 4.979
_cell_length_b 4.979
_cell_length_c 4.979
_cell_angle_alpha 60.00
_cell_angle_beta 60.00
_cell_angle_gamma 60.00
_space_group_name_H-M_alt 'P 1'
_space_group_IT_number 1
_space_group_name_Hall 'P 1'
loop_
_atom_site_label
_atom_site_fract_x
_atom_site_fract_y
_atom_site_fract_z
Y1 0.250 0.250 0.250
Y2 0.750 0.750 0.750
Ru1 0.500 0.500 0.500
Ti1 0.000 0.000 0.000
```

First-principles (PBE-GGA) data for a relaxed structure of Ga2AgHPt, as listed in the Alexandria database.

## Properties
- raw total energy (eV per atom) = -3.32

```
data_Ga2AgHPt
_chemical_formula_sum 'Ga2 Ag1 H1 Pt1'
_cell_length_a 5.066
_cell_length_b 3.232
_cell_length_c 5.066
_cell_angle_alpha 90.00
_cell_angle_beta 90.00
_cell_angle_gamma 90.00
_space_group_name_H-M_alt 'P 1'
_space_group_IT_number 1
_space_group_name_Hall 'P 1'
loop_
_atom_site_label
_atom_site_fract_x
_atom_site_fract_y
_atom_site_fract_z
H1 0.000 0.500 0.000
Ga1 0.000 0.000 0.500
Ga2 0.500 0.000 0.000
Ag1 0.000 0.000 0.000
Pt1 0.500 0.500 0.500
```

First-principles (PBE-GGA) data for a relaxed structure of CuBi2AsH, as listed in the Alexandria database.

## Properties
- raw total energy (eV per atom) = -3.14

```
data_CuBi2AsH
_chemical_formula_sum 'Cu1 Bi2 As1 H1'
_cell_length_a 5.352
_cell_length_b 4.495
_cell_length_c 5.352
_cell_angle_alpha 90.00
_cell_angle_beta 90.00
_cell_angle_gamma 90.00
_space_group_name_H-M_alt 'P 1'
_space_group_IT_number 1
_space_group_name_Hall 'P 1'
loop_
_atom_site_label
_atom_site_fract_x
_atom_site_fract_y
_atom_site_fract_z
H1 0.500 0.500 0.500
As1 0.000 0.500 0.000
Bi1 0.000 0.000 0.500
Bi2 0.500 0.000 0.000
Cu1 0.000 0.000 0.000
```

First-principles (PBE-GGA) data for a relaxed structure of Mo2Os4Ru5, as listed in the Alexandria database.

## Properties
- ΔH_f (0 K) (eV per formula unit) = 1.08

```
data_Mo2Os4Ru5
_chemical_formula_sum 'Mo2 Os4 Ru5'
_cell_length_a 2.726
_cell_length_b 8.233
_cell_length_c 10.618
_cell_angle_alpha 137.19
_cell_angle_beta 97.38
_cell_angle_gamma 90.00
_space_group_name_H-M_alt 'P 1'
_space_group_IT_number 1
_space_group_name_Hall 'P 1'
loop_
_atom_site_label
_atom_site_fract_x
_atom_site_fract_y
_atom_site_fract_z
Mo1 0.593 0.733 0.187
Mo2 0.407 0.267 0.813
Os1 0.683 0.461 0.365
Os2 0.047 0.361 0.095
Os3 0.317 0.539 0.635
Os4 0.953 0.639 0.905
Ru1 0.135 0.089 0.270
Ru2 0.865 0.911 0.730
Ru3 0.230 0.815 0.460
Ru4 0.500 0.000 0.000
Ru5 0.770 0.185 0.540
```

First-principles (PBE-GGA) data for a relaxed structure of Nd5ScGa4, as listed in the Alexandria database.

## Properties
- ΔH_f (0 K) (eV per formula unit) = -3.60

```
data_Nd5ScGa4
_chemical_formula_sum 'Nd5 Sc1 Ga4'
_cell_length_a 4.190
_cell_length_b 8.240
_cell_length_c 8.447
_cell_angle_alpha 79.87
_cell_angle_beta 104.36
_cell_angle_gamma 90.00
_space_group_name_H-M_alt 'P 1'
_space_group_IT_number 1
_space_group_name_Hall 'P 1'
loop_
_atom_site_label
_atom_site_fract_x
_atom_site_fract_y
_atom_site_fract_z
Nd1 0.825 0.579 0.649
Nd2 0.831 0.120 0.662
Nd3 0.169 0.880 0.338
Nd4 0.500 0.500 0.000
Nd5 0.175 0.421 0.351
Sc1 0.500 0.000 0.000
Ga1 0.363 0.835 0.726
Ga2 0.976 0.777 0.952
Ga3 0.637 0.165 0.274
Ga4 0.024 0.223 0.048
```

First-principles (PBE-GGA) data for a relaxed structure of ZnTe2Pt, as listed in the Alexandria database.

## Properties
- energy relative to the elements, uncorrected (meV/atom) = -208

```
data_ZnTe2Pt
_chemical_formula_sum 'Zn2 Te4 Pt2'
_cell_length_a 6.103
_cell_length_b 6.103
_cell_length_c 7.501
_cell_angle_alpha 66.00
_cell_angle_beta 66.00
_cell_angle_gamma 90.00
_space_group_name_H-M_alt 'P 1'
_space_group_IT_number 1
_space_group_name_Hall 'P 1'
loop_
_atom_site_label
_atom_site_fract_x
_atom_site_fract_y
_atom_site_fract_z
Zn1 0.500 0.500 0.000
Zn2 0.250 0.750 0.500
Te1 0.636 0.125 0.250
Te2 0.114 0.625 0.250
Te3 0.375 0.364 0.750
Te4 0.875 0.886 0.750
Pt1 0.000 0.000 0.000
Pt2 0.750 0.250 0.500
```

First-principles (PBE-GGA) data for a relaxed structure of LiGe2Pb2, as listed in the Alexandria database.

## Properties
- offset from the most stable computed form (meV per atom) = 132
- ΔH_f (0 K) (eV per formula unit) = 0.81

```
data_LiGe2Pb2
_chemical_formula_sum 'Li1 Ge2 Pb2'
_cell_length_a 4.833
_cell_length_b 4.833
_cell_length_c 7.074
_cell_angle_alpha 70.02
_cell_angle_beta 70.02
_cell_angle_gamma 90.00
_space_group_name_H-M_alt 'P 1'
_space_group_IT_number 1
_space_group_name_Hall 'P 1'
loop_
_atom_site_label
_atom_site_fract_x
_atom_site_fract_y
_atom_site_fract_z
Pb1 0.750 0.250 0.500
Pb2 0.250 0.750 0.500
Ge1 0.400 0.400 0.199
Ge2 0.600 0.600 0.801
Li1 0.000 0.000 0.000
```

First-principles (PBE-GGA) data for a relaxed structure of Ti2NbNiH, as listed in the Alexandria database.

## Properties
- offset from the most stable computed form (meV per atom) = 0

```
data_Ti2NbNiH
_chemical_formula_sum 'Ti2 Nb1 Ni1 H1'
_cell_length_a 4.334
_cell_length_b 4.334
_cell_length_c 3.388
_cell_angle_alpha 90.00
_cell_angle_beta 90.00
_cell_angle_gamma 90.00
_space_group_name_H-M_alt 'P 1'
_space_group_IT_number 1
_space_group_name_Hall 'P 1'
loop_
_atom_site_label
_atom_site_fract_x
_atom_site_fract_y
_atom_site_fract_z
Ni1 0.000 0.000 0.500
Nb1 0.500 0.500 0.500
H1 0.000 0.000 0.000
Ti1 0.000 0.500 0.000
Ti2 0.500 0.000 0.000
```

First-principles (PBE-GGA) data for a relaxed structure of GaBiO2, as listed in the Alexandria database.

## Properties
- offset from the most stable computed form (meV per atom) = 182
- energy relative to the elements, uncorrected (meV/atom) = -1081

```
data_GaBiO2
_chemical_formula_sum 'Ga2 Bi2 O4'
_cell_length_a 5.384
_cell_length_b 5.384
_cell_length_c 5.895
_cell_angle_alpha 62.83
_cell_angle_beta 62.83
_cell_angle_gamma 90.00
_space_group_name_H-M_alt 'P 1'
_space_group_IT_number 1
_space_group_name_Hall 'P 1'
loop_
_atom_site_label
_atom_site_fract_x
_atom_site_fract_y
_atom_site_fract_z
O1 0.500 0.125 0.250
O2 0.250 0.625 0.250
O3 0.375 0.500 0.750
O4 0.875 0.750 0.750
Bi1 0.000 0.000 0.000
Bi2 0.750 0.250 0.500
Ga1 0.500 0.500 0.000
Ga2 0.250 0.750 0.500
```

First-principles (PBE-GGA) data for a relaxed structure of K2LiMo, as listed in the Alexandria database.

## Properties
- offset from the most stable computed form (meV per atom) = 216
- ΔH_f (0 K) (eV per formula unit) = 4.92

```
data_K2LiMo
_chemical_formula_sum 'K2 Li1 Mo1'
_cell_length_a 6.482
_cell_length_b 6.482
_cell_length_c 6.424
_cell_angle_alpha 80.99
_cell_angle_beta 80.99
_cell_angle_gamma 32.49
_space_group_name_H-M_alt 'P 1'
_space_group_IT_number 1
_space_group_name_Hall 'P 1'
loop_
_atom_site_label
_atom_site_fract_x
_atom_site_fract_y
_atom_site_fract_z
K1 0.000 0.000 0.005
K2 0.500 0.500 0.495
Li1 0.750 0.750 0.750
Mo1 0.250 0.250 0.250
```

First-principles (PBE-GGA) data for a relaxed structure of Ho3Cd7Ag2, as listed in the Alexandria database.

## Properties
- offset from the most stable computed form (meV per atom) = 0
- ΔH_f (0 K) (eV per formula unit) = -2.10

```
data_Ho3Cd7Ag2
_chemical_formula_sum 'Ho3 Cd7 Ag2'
_cell_length_a 3.856
_cell_length_b 4.763
_cell_length_c 15.758
_cell_angle_alpha 98.39
_cell_angle_beta 90.00
_cell_angle_gamma 90.00
_space_group_name_H-M_alt 'P 1'
_space_group_IT_number 1
_space_group_name_Hall 'P 1'
loop_
_atom_site_label
_atom_site_fract_x
_atom_site_fract_y
_atom_site_fract_z
Ho1 0.500 0.500 0.000
Ho2 0.000 0.181 0.357
Ho3 0.000 0.819 0.643
Cd1 0.500 0.729 0.456
Cd2 0.500 0.271 0.544
Cd3 0.000 0.579 0.154
Cd4 0.000 0.000 0.000
Cd5 0.000 0.421 0.846
Cd6 0.500 0.914 0.833
Cd7 0.500 0.086 0.167
Ag1 0.500 0.644 0.283
Ag2 0.500 0.356 0.717
```

First-principles (PBE-GGA) data for a relaxed structure of TmCdHg4, as listed in the Alexandria database.

## Properties
- offset from the most stable computed form (meV per atom) = 0
- ΔH_f (0 K) (eV per formula unit) = -0.88

```
data_TmCdHg4
_chemical_formula_sum 'Tm2 Cd2 Hg8'
_cell_length_a 6.190
_cell_length_b 8.475
_cell_length_c 6.498
_cell_angle_alpha 90.00
_cell_angle_beta 121.71
_cell_angle_gamma 90.00
_space_group_name_H-M_alt 'P 1'
_space_group_IT_number 1
_space_group_name_Hall 'P 1'
loop_
_atom_site_label
_atom_site_fract_x
_atom_site_fract_y
_atom_site_fract_z
Tm1 0.904 0.000 0.119
Tm2 0.430 0.500 0.881
Cd1 0.447 0.500 0.390
Cd2 0.888 0.000 0.611
Hg1 0.920 0.670 0.372
Hg2 0.414 0.830 0.627
Hg3 0.414 0.830 0.118
Hg4 0.920 0.670 0.882
Hg5 0.920 0.330 0.882
Hg6 0.414 0.170 0.118
Hg7 0.414 0.170 0.627
Hg8 0.920 0.330 0.372
```

First-principles (PBE-GGA) data for a relaxed structure of ZnAsPdRh, as listed in the Alexandria database.

## Properties
- ΔH_f (0 K) (eV per formula unit) = -1.12

```
data_ZnAsPdRh
_chemical_formula_sum 'Zn1 As1 Pd1 Rh1'
_cell_length_a 4.380
_cell_length_b 4.380
_cell_length_c 4.380
_cell_angle_alpha 60.00
_cell_angle_beta 60.00
_cell_angle_gamma 60.00
_space_group_name_H-M_alt 'P 1'
_space_group_IT_number 1
_space_group_name_Hall 'P 1'
loop_
_atom_site_label
_atom_site_fract_x
_atom_site_fract_y
_atom_site_fract_z
As1 0.500 0.500 0.500
Rh1 0.250 0.250 0.250
Zn1 0.000 0.000 0.000
Pd1 0.750 0.750 0.750
```

Calculated values (g/cm³) of density for the records, taken in order: 9.8 6.4 4.3 6.3 9.1 12.6 6.2 8.9 7.2 15.2 6.2 7.5 6.5 6.5 7.9 2.1 8.7 12.4 9.8.